A plane-wave DFT calculation with PBE was carried out for a relaxed NaFePtN crystal.

## Properties
SG = P4/nmm
E_tot = -48.3 eV/cell
Size of the total moment = 0.000 μB per atom

Geometry as extended XYZ:
```
8
Lattice="-2.806 1.703 1.286 -2.116 -1.942 -2.044 -0.808 -6.955 7.443" Properties=species:S:1:pos:R:3 pbc="T T T"
Na -3.899 -1.963 1.340
Na -1.832 -5.231 5.344
Fe -2.633 0.792 0.454
Fe -2.288 -1.031 -1.212
Pt -2.693 -4.508 2.510
Pt -3.038 -2.686 4.175
N -4.437 -6.595 6.297
N -1.293 -0.599 0.388
```

A plane-wave DFT calculation with PBE was carried out for a relaxed NaPuFeN3 crystal.

## Properties
SG = P2_1/m
E_tot = -104.1 eV/cell
Size of the total moment = 0.401 μB per atom

Geometry as extended XYZ:
```
12
Lattice="-0.988 0.260 -3.235 1.749 -6.566 -1.062 -7.648 -0.905 2.262" Properties=species:S:1:pos:R:3 pbc="T T T"
Na -1.226 -1.164 -0.609
Na -5.661 -6.047 -1.426
Pu -0.336 -4.377 -1.139
Pu -6.551 -2.834 -0.896
Fe -4.732 -0.878 0.485
Fe -2.156 -6.333 -2.519
N -0.502 -5.625 -2.967
N -6.385 -1.586 0.933
N -2.148 -5.825 -0.702
N -4.739 -1.386 -1.333
N -0.895 -2.855 -2.625
N -5.993 -4.356 0.590
```

A plane-wave DFT calculation with PBE was carried out for a relaxed NaPu2FeN4 crystal.

## Properties
SG = Cmcm
E_tot = -155.0 eV/cell
Size of the total moment = 1.065 μB per atom

Geometry as extended XYZ:
```
16
Lattice="3.417 0.000 0.000 -1.709 5.887 0.000 0.000 0.000 11.591" Properties=species:S:1:pos:R:3 pbc="T T T"
Na 0.000 0.856 8.693
Na 1.709 5.031 2.898
Pu 0.000 4.349 6.381
Pu 1.709 1.538 0.585
Pu 1.709 1.538 5.211
Pu 0.000 4.349 11.006
Fe 1.709 3.616 8.693
Fe 0.000 2.271 2.898
N 0.000 2.905 1.170
N 1.709 2.982 6.965
N 1.709 2.982 10.422
N 0.000 2.905 4.626
N 0.000 0.000 5.796
N 0.000 0.000 0.000
N 0.000 4.505 8.693
N 1.709 1.382 2.898
```

A plane-wave DFT calculation with PBE was carried out for a relaxed Na4Pu3FeN8 crystal.

## Properties
SG = C2/m
E_tot = -131.5 eV/cell
Size of the total moment = 0.675 μB per atom

Geometry as extended XYZ:
```
16
Lattice="-6.479 0.193 -0.388 0.327 -1.951 -6.434 2.849 -3.970 4.791" Properties=species:S:1:pos:R:3 pbc="T T T"
Na -3.240 0.096 -0.194
Na -1.815 -1.888 2.201
Na 0.000 0.000 0.000
Na 1.425 -1.985 2.395
Pu -3.076 -0.879 -3.411
Pu -1.652 -2.864 -1.016
Pu 1.588 -2.960 -0.822
Fe 0.164 -0.976 -3.217
N 1.537 -5.057 0.159
N 0.030 -3.397 -2.186
N -0.110 -2.700 0.492
N -1.842 -4.956 -0.043
N -1.461 -0.772 -1.989
N -3.193 -3.028 -2.524
N -3.333 -2.331 0.155
N -4.840 -0.671 -2.191
```

A plane-wave DFT calculation with PBE was carried out for a relaxed NaFeSN2 crystal.

## Properties
SG = P4/mmm
E_tot = -28.0 eV/cell
Size of the total moment = 0.000 μB per atom
Distance to the lowest polymorph of the same formula = 0 meV/atom

Geometry as extended XYZ:
```
5
Lattice="-1.555 -3.111 1.004 3.153 -1.721 -0.450 1.202 0.948 4.801" Properties=species:S:1:pos:R:3 pbc="T T T"
Na 1.400 -1.942 2.677
S 0.601 0.474 2.400
Fe 0.000 0.000 0.000
N 1.577 -0.860 -0.225
N -0.777 -1.556 0.502
```

A plane-wave DFT calculation with PBE was carried out for a relaxed NaFeSN2 crystal.

## Properties
SG = P4/mmm
E_tot = -19.4 eV/cell
Size of the total moment = 1.801 μB per atom
Distance to the lowest polymorph of the same formula = 1720 meV/atom

Geometry as extended XYZ:
```
5
Lattice="4.180 0.000 0.000 0.000 4.180 0.000 0.000 0.000 5.228" Properties=species:S:1:pos:R:3 pbc="T T T"
Na 0.000 0.000 0.000
S 0.000 0.000 2.614
Fe 2.090 2.090 2.614
N 0.000 2.090 0.000
N 2.090 0.000 0.000
```

> Look up the size of the total moment of the sixth one.

1.801 μB per atom

> What is the formula in the first record?

NaFePtN